10
Lattice="-2.3934 -2.6601 2.6968 0.8587 -3.4880 -2.6784 18.1377 -4.4924 11.6658" Properties=species:S:1:pos:R:3 comment="Na5Sr4Ca | Alexandria | GGA-PBE | relaxed" formation_energy_mev_per_atom=36 m_tot_mub_per_atom=0.00 space_group="No. 123" e_tot_ev_per_fu=-15.0 pbc="T T T"
Sr 10.9181 -2.7042 7.0223
Sr 3.5250 -0.8731 2.2672
Sr 7.2196 -1.7882 4.6435
Sr 14.6128 -3.6194 9.3986
Na 8.3015 -5.3203 5.8421
Na 4.6066 -4.4051 3.4656
Na 15.7175 -7.1571 10.6119
Na 11.9965 -6.2354 8.2186
Na 0.8856 -3.4834 1.0723
Ca 0.0000 0.0000 0.0000

4
Lattice="-0.3973 -1.4213 3.3042 -1.9183 -4.1681 -2.0236 4.6005 -1.9737 -0.2958" Properties=species:S:1:pos:R:3 comment="Th2TcOs | Alexandria | GGA-PBE | relaxed" formation_energy_mev_per_atom=-69 m_tot_mub_per_atom=0.00 space_group="No. 123" e_tot_ev_per_fu=-36.7 pbc="T T T"
Th 2.3002 -0.9868 -0.1479
Th -0.9591 -2.0840 -1.0118
Os -0.1987 -0.7106 1.6521
Tc 1.1424 -3.7815 0.4924

4
Lattice="-0.2743 -3.0454 -2.0330 2.8142 -2.3524 -0.1719 -0.9183 -4.1898 3.0840" Properties=species:S:1:pos:R:3 comment="SmB2Ru | Alexandria | GGA-PBE | relaxed" e_above_lowest_polymorph_ev_per_atom=0.2962 formation_energy_mev_per_atom=-209 m_tot_mub_per_atom=0.00 space_group="No. 166" e_tot_ev_per_fu=-28.2 pbc="T T T"
Sm 0.8108 -4.7938 0.4395
B 0.9695 -7.5247 1.1930
B 0.6520 -2.0628 -0.3139
Ru 0.0000 0.0000 0.0000

29
Lattice="9.5921 0.0000 5.5380 3.1974 9.0435 5.5380 0.0000 0.0000 11.0760" Properties=species:S:1:pos:R:3 comment="Tb6Pr7Ho16 | Alexandria | GGA-PBE | relaxed" formation_energy_mev_per_atom=190 m_tot_mub_per_atom=0.00 space_group="No. 225" e_tot_ev_per_fu=-129.0 pbc="T T T"
Tb 9.9116 7.0086 11.0760
Tb 2.8778 2.0349 11.0760
Tb 8.1532 2.0349 14.1217
Tb 8.1532 2.0349 8.0302
Tb 4.6363 7.0086 14.1217
Tb 4.6363 7.0086 8.0302
Ho 3.5192 5.5384 11.0760
Ho 3.1974 4.9720 5.5380
Ho 7.8325 5.5384 8.5857
Ho 7.8325 5.5384 13.5663
Ho 10.8701 7.6863 18.8276
Ho 6.3947 1.4718 11.0760
Ho 4.9569 3.5051 13.5663
Ho 5.7535 1.3572 5.5380
Ho 9.5921 4.0715 16.6140
Ho 6.3947 7.5717 11.0760
Ho 9.2703 3.5051 11.0760
Ho 7.0360 7.6863 16.6140
Ho 10.8701 7.6863 14.4003
Ho 4.9569 3.5051 8.5857
Ho 1.9193 1.3572 3.3243
Ho 1.9193 1.3572 7.7516
Pr 4.7960 0.0000 8.3070
Pr 1.5987 4.5218 8.3070
Pr 0.0000 0.0000 0.0000
Pr 6.3947 4.5218 5.5380
Pr 0.0000 0.0000 5.5380
Pr 4.7960 0.0000 2.7690
Pr 1.5987 4.5218 2.7690